Entry 1:
The following is a DFT calculation (GGA-PBE) of a relaxed Ho8ErAl2 crystal.

a = 8.7550 Å, b = 14.5761 Å, c = 5.5134 Å
α = 90.00°, β = 112.95°, γ = 90.00°
With the nearest neighbours (Å) after each atom.
Space group C2/m (No. 12)
One atom of each set of equivalent atoms:
Ho (0.0000, 0.2225, 0.0000) x4  2 Al 3.02, 1 Er 3.24
Ho (0.0982, 0.5000, 0.7963) x4  2 Ho 3.04-3.32, 2 Al 3.19, 1 Er 3.25
Ho (0.2072, 0.1185, 0.6123) x8  2 Al 3.06-3.23, 1 Ho 3.35
Er (0.0000, 0.0000, 0.0000) x2  8 Ho 3.24-3.59
Al (0.0000, 0.3079, 0.5000) x4  8 Ho 3.02-3.23

Summary:
E above lowest polymorph: 2.74 kcal/mol of atoms
Energy relative to the elements: 0.01 eV/atom
Crystal system: monoclinic

***

Entry 2:
The following is a DFT calculation (GGA-PBE) of a relaxed LaTb3Ce2Se6 crystal.

a = 7.1771 Å, b = 12.4494 Å, c = 7.2840 Å
α = 90.00°, β = 109.24°, γ = 90.00°
With the nearest neighbours (Å) after each atom.
Space group C2/m (No. 12)
One atom of each set of equivalent atoms:
La (0.0000, 0.0000, 0.0000) x2  6 Se 3.01-3.03
Tb (0.0000, 0.1635, 0.5000) x4  6 Se 2.89-2.91
Tb (0.0000, 0.5000, 0.5000) x2  6 Se 2.88-2.91
Ce (0.0000, 0.3331, 0.0000) x4  6 Se 2.98-2.99
Se (0.2433, 0.3312, 0.7366) x8  3 Tb 2.90-2.91, 2 Ce 2.99, 1 La 3.03
Se (0.2489, 0.5000, 0.2602) x4  3 Tb 2.88-2.89, 2 Ce 2.98, 1 La 3.01

Summary:
Crystal system: monoclinic
Formation energy (no corrections): -1.835 eV/atom

***

Entry 3:
The following is a DFT calculation (GGA-PBE) of a relaxed NaAg2Rh crystal.

a = 6.5569 Å, b = 6.5569 Å, c = 6.5569 Å
α = 90.00°, β = 90.00°, γ = 90.00°
With the nearest neighbours (Å) after each atom.
Space group Fm-3m (No. 225)
One atom of each set of equivalent atoms:
Na (0.0000, 0.0000, 0.0000) x4  8 Ag 2.84
Ag (0.2500, 0.2500, 0.2500) x8  4 Na 2.84, 4 Rh 2.84
Rh (0.0000, 0.0000, 0.5000) x4  8 Ag 2.84

Summary:
E above lowest polymorph: 0.00 kcal/mol of atoms
Energy relative to the elements: 0.23 eV/atom
Crystal system: cubic

***

Short version: M_tot = 0.00, 1.96, 0.00 μB per formula unit, in the order given.
Short version: Fermi-level density of states = 30.6, 29.7, 1.5 states/eV/cell, in the order given.